(1)
The following is a DFT calculation (PBE) of a relaxed structure of KSi3.

The density of states at the Fermi level is 0.41 states/eV per atom. The value obtained for the mass density is 2.30 g cm⁻³. The value obtained for the uncorrected formation energy is 0.43 eV per atom. The calculation puts the total moment at 0.000 Bohr magnetons per cell.

Cell: 7.6539 7.6539 3.5765 Å, 90.00 90.00 121.93°
Closest atoms and distances in Å follow each position.
Atoms (fractional coordinates):
K  0.5971  0.4029  0.2500  2 Si 2.96, 2 K 3.16
K  0.4029  0.5971  0.7500  2 Si 2.96, 2 K 3.16
Si  0.0843  0.9157  0.7500  6 Si 2.69-2.88
Si  0.9468  0.3618  0.7500  3 Si 2.29-2.55
Si  0.6382  0.0532  0.7500  3 Si 2.29-2.55
Si  0.0532  0.6382  0.2500  3 Si 2.29-2.55
Si  0.9157  0.0843  0.2500  6 Si 2.69-2.88
Si  0.3618  0.9468  0.2500  3 Si 2.29-2.55



(2)
The following is a DFT calculation (PBE) of a relaxed structure of K2Si.

The density of states at the Fermi level is 0.82 states/eV per atom. The value obtained for the mass density is 1.37 g cm⁻³. The value obtained for the uncorrected formation energy is 0.43 eV per atom. The calculation puts the total moment at 0.618 Bohr magnetons per cell.

Cell: 16.9967 16.9967 16.9967 Å, 166.75 166.75 18.78°
Closest atoms and distances in Å follow each position.
Atoms (fractional coordinates):
K  0.1905  0.6905  0.5000  4 Si 3.42
K  0.4405  0.4405  0.0000  4 Si 3.42
K  0.3095  0.8095  0.5000  4 Si 3.42
K  0.5595  0.5595  0.0000  4 Si 3.42
Si  0.0000  0.0000  0.0000  8 K 3.42
Si  0.7500  0.2500  0.5000  8 K 3.42